Record 1
This record from the Alexandria database describes a relaxed structure of Nb7Ga5. The functional is GGA-PBE.

Unit cell a=5.1637 b=5.1637 c=12.5953 alpha=110.10 beta=110.10 gamma=43.45
Closest atoms and distances in Å follow each position.
Element x y z (fractional)
Nb: 0.0000 0.0000 0.0000  6 Ga 2.76-3.03, 4 Nb 3.01
Nb: 0.1895 0.1895 0.5522  4 Ga 2.55-2.73, 2 Nb 2.80
Nb: 0.2870 0.2870 0.8327  5 Ga 2.74-2.82, 4 Nb 2.90-3.01
Nb: 0.4447 0.4447 0.2866  4 Ga 2.54-2.70
Nb: 0.5553 0.5553 0.7134  4 Ga 2.54-2.70
Nb: 0.7130 0.7130 0.1673  5 Ga 2.74-2.82, 4 Nb 2.90-3.01
Nb: 0.8105 0.8105 0.4478  4 Ga 2.55-2.73, 2 Nb 2.80
Ga: 0.1491 0.1491 0.2980  7 Nb 2.70-2.89
Ga: 0.3371 0.3371 0.0628  6 Nb 2.62-2.82, 2 Ga 2.64
Ga: 0.5000 0.5000 0.5000  6 Nb 2.54-2.55
Ga: 0.6629 0.6629 0.9372  6 Nb 2.62-2.82, 2 Ga 2.64
Ga: 0.8509 0.8509 0.7020  7 Nb 2.70-2.89

Properties
Crystal system: monoclinic
Formation enthalpy at 0 K: -0.036 eV/atom

---

Record 2
This record from the Alexandria database describes a relaxed structure of BaFeSn2Sb. The functional is GGA-PBE.

Unit cell a=5.4843 b=5.4843 c=6.0901 alpha=90.00 beta=90.00 gamma=90.00
Closest atoms and distances in Å follow each position.
Element x y z (fractional)
Ba: 0.0000 0.0000 0.0000  2 Sb 3.05
Fe: 0.5000 0.5000 0.0000  4 Ba 3.88, 8 Sn 4.10
Sn: 0.0000 0.5000 0.5000  2 Sb 2.74
Sn: 0.5000 0.0000 0.5000  2 Sb 2.74
Sb: 0.0000 0.0000 0.5000  4 Sn 2.74, 2 Ba 3.05

Properties
Formation energy without anion corrections: 900.4 meV/atom
Crystal system: tetragonal

---

Record 3
This record from the Alexandria database describes a relaxed structure of TaBe2Sb. The functional is GGA-PBE.

Unit cell a=5.0122 b=5.0122 c=5.0122 alpha=137.16 beta=137.12 gamma=62.22
Closest atoms and distances in Å follow each position.
Element x y z (fractional)
Ta: 0.0000 0.0000 0.0000  8 Be 2.59-2.83, 4 Sb 2.82
Be: 0.2513 0.7513 0.5000  4 Sb 2.59, 4 Be 2.81-2.84, 4 Ta 2.81-2.83
Be: 0.4990 0.4990 0.0000  4 Ta 2.59, 4 Be 2.81-2.84, 4 Sb 2.82-2.83
Sb: 0.7498 0.2498 0.5000  8 Be 2.59-2.83, 4 Ta 2.82

Properties
Formation energy without anion corrections: 80.7 meV/atom
Crystal system: orthorhombic

---

Record 4
This record from the Alexandria database describes a relaxed structure of TiGaNi. The functional is GGA-PBE.

Unit cell a=4.1652 b=4.1652 c=2.8038 alpha=90.00 beta=90.00 gamma=120.00
Closest atoms and distances in Å follow each position.
Element x y z (fractional)
Ti: 0.0000 0.0000 0.0000  6 Ni 2.78, 6 Ga 2.78, 2 Ti 2.80
Ga: 0.3333 0.6667 0.5000  3 Ni 2.40
Ni: 0.6667 0.3333 0.5000  3 Ga 2.40

Properties
Crystal system: hexagonal
Formation enthalpy at 0 K: -0.472 eV/atom

---

| no. | density (Mg/m³) | N(E_F) (states/eV/f.u.) |
| --- | --- | --- |
| 1 | 7.7 | 5.0 |
| 2 | 5.0 | 4.7 |
| 3 | 9.3 | 0.7 |
| 4 | 6.9 | 3.3 |